Material: RbAlFe2Ir
Method: DFT, PBEsol
State: optimized geometry

Cell lengths 4.7104, 4.7104, 5.8228 Å; angles 90.00, 90.00, 90.00 degrees
Space group P4/mmm (No. 123)
Symmetry-distinct sites (fractional):
1 Rb 0.0000 0.0000 0.0000 x1
2 Al 0.5000 0.5000 0.0000 x1
3 Fe 0.0000 0.5000 0.5000 x2
4 Ir 0.0000 0.0000 0.5000 x1

magnetization	6.86	μB/f.u.
energy of formation from the pure elements	1.54	eV per atom
E_tot	-5.04	eV/atom

---

Material: KAlFe2
Method: DFT, PBEsol
State: optimized geometry

Cell lengths 6.4843, 6.4843, 6.4843 Å; angles 90.00, 90.00, 90.00 degrees
Space group F-43m (No. 216)
Symmetry-distinct sites (fractional):
1 K 0.0000 0.0000 0.0000 x4
2 Al 0.2500 0.2500 0.7500 x4
3 Fe 0.0000 0.0000 0.5000 x4
4 Fe 0.2500 0.2500 0.2500 x4

magnetization	5.03	μB/f.u.
energy of formation from the pure elements	1.12	eV per atom
E_tot	-4.66	eV/atom

---

Material: KMg2AlFeSi3O12
Method: DFT, PBEsol
State: optimized geometry

Cell lengths 5.2462, 5.2783, 10.2884 Å; angles 86.45, 81.37, 60.69 degrees
Space group P1 (No. 1)
Symmetry-distinct sites (fractional):
1 K 0.0000 0.0000 0.0000 x1
2 Mg 0.1605 0.6843 0.4772 x1
3 Mg 0.8385 0.3308 0.4761 x1
4 Al 0.5991 0.6782 0.2057 x1
5 Fe 0.4913 0.0048 0.4754 x1
6 Si 0.2654 0.3386 0.2020 x1
7 Si 0.4048 0.3352 0.7504 x1
8 Si 0.7408 0.6710 0.7508 x1
9 O 0.0546 0.5100 0.8122 x1
10 O 0.1749 0.0142 0.5712 x1
11 O 0.2062 0.3387 0.3669 x1
12 O 0.3641 0.5777 0.1502 x1
13 O 0.4587 0.3353 0.5906 x1
14 O 0.5150 0.0203 0.1443 x1
15 O 0.5353 0.6816 0.3805 x1
16 O 0.5517 0.0052 0.8097 x1
17 O 0.5587 0.5011 0.8097 x1
18 O 0.8027 0.6657 0.5921 x1
19 O 0.8112 0.0041 0.3928 x1
20 O 0.9592 0.4235 0.1474 x1

magnetization	4.00	μB/f.u.
raw formation energy	-2.556	eV/atom
E_tot	-7.45	eV/atom

---

- What is the formula in the third record?
  KMg2AlFeSi3O12